(i)
A plane-wave DFT calculation with PBE-GGA was carried out for a relaxed structure of CsKCd.

Cell and atoms, written as CIF:
```
data_CsKCd
_symmetry_space_group_name_H-M 'I 4 m m'
_symmetry_Int_Tables_number 107
_symmetry_space_group_name_Hall 'I 4 -2'
_cell_length_a 4.6829
_cell_length_b 4.6829
_cell_length_c 15.9774
_cell_angle_alpha 90.00
_cell_angle_beta 90.00
_cell_angle_gamma 90.00
loop_
_atom_site_label
_atom_site_type_symbol
_atom_site_fract_x
_atom_site_fract_y
_atom_site_fract_z
Cs1 Cs 0.0000 0.0000 0.0000
K1 K 0.0000 0.0000 0.2689
Cd1 Cd 0.0000 0.0000 0.6517
```

Output
N(E_F): 2.3 states/eV/f.u.
Theoretical density: 2.7 g/cm³

(ii)
A plane-wave DFT calculation with PBE-GGA was carried out for a relaxed structure of CsKCd.

Cell and atoms, written as CIF:
```
data_CsKCd
_symmetry_space_group_name_H-M 'P 3 m 1'
_symmetry_Int_Tables_number 156
_symmetry_space_group_name_Hall 'P 3 -2"'
_cell_length_a 6.2992
_cell_length_b 6.2992
_cell_length_c 5.2428
_cell_angle_alpha 90.00
_cell_angle_beta 90.00
_cell_angle_gamma 120.00
loop_
_atom_site_label
_atom_site_type_symbol
_atom_site_fract_x
_atom_site_fract_y
_atom_site_fract_z
Cs1 Cs 0.0000 0.0000 0.0000
K1 K 0.3333 0.6667 0.4770
Cd1 Cd 0.6667 0.3333 0.5680
```

Output
N(E_F): 2.1 states/eV/f.u.
Theoretical density: 2.6 g/cm³

So which one is most stable? That would be (i), about 3.8 kJ/mol of atoms below the next structure.